1.
A relaxed K2LiH2Se2O6 crystal, computed with PBE.

For the mass density, the calculation gives 2.73 g/cm³. The value obtained for the electronic total energy is -0.178 hartree per atom. The value obtained for the energy relative to the lowest polymorph listed for this composition is 49 meV/atom.

The structure belongs to space group P-1 (No. 2); the cell edges are 4.9991, 5.5490 and 7.7127 Å and the angles 79.90°, 80.08° and 85.23°. The asymmetric unit holds K at (0.1319, 0.4910, 0.2282), Li at (0.0000, 0.0000, 0.5000), H at (0.4199, 0.2254, 0.5092), Se at (0.3919, 0.0261, 0.8305), O at (0.2370, 0.2143, 0.5783), O at (0.2823, 0.9418, 0.2760) and O at (0.3205, 0.7288, 0.8403).

2.
A relaxed Tb3PdAu crystal, computed with PBE.

For the mass density, the calculation gives 9.82 g/cm³. The energy of formation comes out at -0.605 eV/atom. The value obtained for the electronic total energy is -0.187 hartree per atom.

The structure belongs to space group Pm (No. 6); the cell edges are 7.7660, 3.8152 and 9.5207 Å and the angles 90.00°, 110.76° and 90.00°. The asymmetric unit holds Tb at (0.0000, 0.0000, 0.0000), Tb at (0.0518, 0.0000, 0.3766), Tb at (0.4060, 0.5000, 0.9570), Tb at (0.5076, 0.0000, 0.6495), Tb at (0.5674, 0.0000, 0.2932), Tb at (0.8721, 0.5000, 0.6150), Pd at (0.7174, 0.5000, 0.8602), Pd at (0.7993, 0.5000, 0.1870), Au at (0.1750, 0.0000, 0.7307) and Au at (0.2512, 0.5000, 0.2369).

3.
A relaxed LaScAl crystal, computed with PBE.

For the mass density, the calculation gives 3.88 g/cm³. The energy of formation comes out at 0.001 eV/atom. The value obtained for the electronic total energy is -0.184 hartree per atom. The value obtained for the energy relative to the lowest polymorph listed for this composition is 237 meV/atom.

The structure belongs to space group F-43m (No. 216); the cell edges are 7.1186, 7.1186 and 7.1186 Å and the angles 90.00°, 90.00° and 90.00°. The asymmetric unit holds La at (0.0000, 0.0000, 0.0000), Sc at (0.0000, 0.0000, 0.5000) and Al at (0.2500, 0.2500, 0.7500).

4.
A relaxed Fe2W crystal, computed with PBE.

For the mass density, the calculation gives 12.53 g/cm³. The energy of formation comes out at 0.404 eV/atom. The value obtained for the electronic total energy is -0.351 hartree per atom.

The structure belongs to space group Imma (No. 74); the cell edges are 2.6371, 4.0094 and 14.8167 Å and the angles 90.00°, 90.00° and 90.00°. The asymmetric unit holds Fe at (0.0000, 0.2500, 0.0334), Fe at (0.0000, 0.2500, 0.1897) and W at (0.0000, 0.2500, 0.6312).

5.
A relaxed Y4NiSe3 crystal, computed with PBE.

For the formation energy without anion corrections, the calculation gives -11.4 eV per formula unit. For the mass density, the calculation gives 5.64 g/cm³. The value obtained for the electronic total energy is -0.246 hartree per atom.

The structure belongs to space group Cmmm (No. 65); the cell edges are 8.3177, 11.5876 and 3.9763 Å and the angles 90.00°, 90.00° and 90.00°. The asymmetric unit holds Y at (0.0000, 0.2414, 0.0000), Y at (0.2275, 0.0000, 0.5000), Ni at (0.0000, 0.0000, 0.0000), Se at (0.0000, 0.5000, 0.0000) and Se at (0.2500, 0.2500, 0.5000).

6.
A relaxed MnZnFe2 crystal, computed with PBE.

For the mass density, the calculation gives 6.92 g/cm³. The energy of formation comes out at 0.554 eV/atom. The value obtained for the electronic total energy is -0.231 hartree per atom.

The structure belongs to space group I-42d (No. 122); the cell edges are 6.6964, 6.6964 and 4.9661 Å and the angles 90.00°, 90.00° and 90.00°. The asymmetric unit holds Mn at (0.0000, 0.0000, 0.0000), Zn at (0.0000, 0.0000, 0.5000) and Fe at (0.2433, 0.7500, 0.6250).

7.
A relaxed RbPb2Br5 crystal, computed with PBE.

For the formation energy without anion corrections, the calculation gives -9.0 eV per formula unit. For the mass density, the calculation gives 4.10 g/cm³. The value obtained for the electronic total energy is -0.118 hartree per atom. The value obtained for the energy relative to the lowest polymorph listed for this composition is 10 meV/atom.

The structure belongs to space group Cmcm (No. 63); the cell edges are 6.0462, 15.1358 and 15.9139 Å and the angles 90.00°, 90.00° and 90.00°. The asymmetric unit holds Rb at (0.0000, 0.2193, 0.2500), Pb at (0.0000, 0.1366, 0.5574), Br at (0.0000, 0.0498, 0.1102), Br at (0.0000, 0.1829, 0.7500) and Br at (0.0000, 0.3211, 0.0486).

8.
A relaxed AlBiMo2 crystal, computed with PBE.

For the mass density, the calculation gives 10.01 g/cm³. The energy of formation comes out at 0.526 eV/atom. The value obtained for the electronic total energy is -0.250 hartree per atom. The value obtained for the energy relative to the lowest polymorph listed for this composition is 0 meV/atom.

The structure belongs to space group Fm-3m (No. 225); the cell edges are 6.5727, 6.5727 and 6.5727 Å and the angles 90.00°, 90.00° and 90.00°. The asymmetric unit holds Al at (0.0000, 0.0000, 0.0000), Bi at (0.0000, 0.0000, 0.5000) and Mo at (0.2500, 0.2500, 0.2500).

9.
A relaxed Tm4Bi2B crystal, computed with PBE.

For the mass density, the calculation gives 9.69 g/cm³. The energy of formation comes out at -0.571 eV/atom. The value obtained for the electronic total energy is -0.191 hartree per atom. The value obtained for the energy relative to the lowest polymorph listed for this composition is 0 meV/atom.

The structure belongs to space group I4/mmm (No. 139); the cell edges are 4.8882, 4.8882 and 15.8480 Å and the angles 90.00°, 90.00° and 90.00°. The asymmetric unit holds Tm at (0.0000, 0.0000, 0.1564), Tm at (0.0000, 0.5000, 0.0000), Bi at (0.0000, 0.0000, 0.3568) and B at (0.0000, 0.0000, 0.0000).

10.
A relaxed Li5Ti3O8 crystal, computed with PBE.

For the formation energy without anion corrections, the calculation gives -41.7 eV per formula unit. For the mass density, the calculation gives 3.49 g/cm³. The value obtained for the electronic total energy is -0.263 hartree per atom.

The structure belongs to space group R-3m (No. 166, hexagonal axes); the cell edges are 5.8873, 5.8873 and 14.5780 Å and the angles 90.00°, 90.00° and 120.00°. The asymmetric unit holds Li at (0.0000, 0.0000, 0.0000), Li at (0.0000, 0.0000, 0.5000), Li at (0.0000, 0.5000, 0.0000), Ti at (0.0000, 0.5000, 0.5000), O at (0.0000, 0.0000, 0.2449) and O at (0.0164, 0.5082, 0.7579).

11.
A relaxed Hf6Fe5Cu crystal, computed with PBE.

For the mass density, the calculation gives 12.48 g/cm³. The energy of formation comes out at -0.281 eV/atom. The value obtained for the electronic total energy is -0.335 hartree per atom.

The structure belongs to space group Immm (No. 71); the cell edges are 4.4707, 6.2662 and 13.4272 Å and the angles 90.00°, 90.00° and 90.00°. The asymmetric unit holds Hf at (0.0000, 0.2462, 0.0000), Hf at (0.0000, 0.2512, 0.3316), Fe at (0.0000, 0.0000, 0.1660), Fe at (0.0000, 0.5000, 0.1679), Fe at (0.0000, 0.5000, 0.5000) and Cu at (0.0000, 0.0000, 0.5000).

12.
A relaxed ZrNpTe crystal, computed with PBE.

For the formation energy without anion corrections, the calculation gives -1.1 eV per formula unit. For the mass density, the calculation gives 11.14 g/cm³. The value obtained for the electronic total energy is -0.316 hartree per atom.

The structure belongs to space group P2_1/m (No. 11); the cell edges are 4.3886, 3.7280 and 8.3046 Å and the angles 90.00°, 91.26° and 90.00°. The asymmetric unit holds Zr at (0.2271, 0.2500, 0.3628), Np at (0.1772, 0.7500, 0.0162) and Te at (0.2831, 0.2500, 0.7151).

13.
A relaxed NbAl3Br crystal, computed with PBE.

For the formation energy without anion corrections, the calculation gives 3.9 eV per formula unit. For the mass density, the calculation gives 2.90 g/cm³. The value obtained for the electronic total energy is -0.140 hartree per atom. The value obtained for the energy relative to the lowest polymorph listed for this composition is 0 meV/atom.

The structure belongs to space group Pm-3m (No. 221); the cell edges are 5.2567, 5.2567 and 5.2567 Å and the angles 90.00°, 90.00° and 90.00°. The asymmetric unit holds Nb at (0.0000, 0.0000, 0.0000), Al at (0.0000, 0.0000, 0.5000) and Br at (0.5000, 0.5000, 0.5000).

14.
A relaxed MgSc2P crystal, computed with PBE.

For the mass density, the calculation gives 3.16 g/cm³. The energy of formation comes out at -0.423 eV/atom. The value obtained for the electronic total energy is -0.196 hartree per atom. The value obtained for the energy relative to the lowest polymorph listed for this composition is 285 meV/atom.

The structure belongs to space group I4/mmm (No. 139); the cell edges are 4.1814, 4.1814 and 8.7169 Å and the angles 90.00°, 90.00° and 90.00°. The asymmetric unit holds Mg at (0.0000, 0.0000, 0.0000), Sc at (0.0000, 0.5000, 0.2500) and P at (0.0000, 0.0000, 0.5000).

15.
A relaxed Ca2BiHPd crystal, computed with PBE.

For the mass density, the calculation gives 6.19 g/cm³. The value obtained for the electronic total energy is -0.145 hartree per atom.

The structure belongs to space group P4/mmm (No. 123); the cell edges are 5.2677, 5.2677 and 3.8336 Å and the angles 90.00°, 90.00° and 90.00°. The asymmetric unit holds Ca at (0.0000, 0.5000, 0.0000), Bi at (0.0000, 0.0000, 0.5000), H at (0.5000, 0.5000, 0.0000) and Pd at (0.5000, 0.5000, 0.5000).

16.
A relaxed BaLiCo2 crystal, computed with PBE.

For the mass density, the calculation gives 4.90 g/cm³. The energy of formation comes out at 0.550 eV/atom. The value obtained for the electronic total energy is -0.146 hartree per atom. The value obtained for the energy relative to the lowest polymorph listed for this composition is 294 meV/atom.

The structure belongs to space group P2/m (No. 10); the cell edges are 3.9624, 4.3471 and 5.2560 Å and the angles 90.00°, 101.35° and 90.00°. The asymmetric unit holds Ba at (0.0000, 0.0000, 0.0000), Li at (0.5000, 0.0000, 0.5000) and Co at (0.2756, 0.5000, 0.5971).

17.
A relaxed OsS2I crystal, computed with PBE.

For the formation energy without anion corrections, the calculation gives 0.0 eV per formula unit. For the mass density, the calculation gives 6.08 g/cm³. The value obtained for the electronic total energy is -0.193 hartree per atom. The value obtained for the energy relative to the lowest polymorph listed for this composition is 0 meV/atom.

The structure belongs to space group Cm (No. 8); the cell edges are 6.5563, 3.0691 and 10.3648 Å and the angles 90.00°, 93.24° and 90.00°. The asymmetric unit holds Os at (0.0000, 0.0000, 0.0000), S at (0.1854, 0.5000, 0.8726), S at (0.3132, 0.0000, 0.1257) and I at (0.1754, 0.5000, 0.4603).

18.
A relaxed NaAcHgTe crystal, computed with PBE.

For the formation energy without anion corrections, the calculation gives -2.6 eV per formula unit. For the mass density, the calculation gives 7.68 g/cm³. The value obtained for the electronic total energy is -0.106 hartree per atom.

The structure belongs to space group F-43m (No. 216); the cell edges are 7.9377, 7.9377 and 7.9377 Å and the angles 90.00°, 90.00° and 90.00°. The asymmetric unit holds Na at (0.0000, 0.0000, 0.0000), Ac at (0.0000, 0.0000, 0.5000), Hg at (0.2500, 0.2500, 0.2500) and Te at (0.2500, 0.2500, 0.7500).

19.
A relaxed BaCd5Hg2 crystal, computed with PBE.

For the mass density, the calculation gives 8.42 g/cm³. The energy of formation comes out at -0.216 eV/atom. The value obtained for the electronic total energy is -0.041 hartree per atom.

The structure belongs to space group Immm (No. 71); the cell edges are 4.5835, 8.3397 and 11.3503 Å and the angles 90.00°, 90.00° and 90.00°. The asymmetric unit holds Ba at (0.0000, 0.0000, 0.0000), Cd at (0.0000, 0.1843, 0.3650), Cd at (0.0000, 0.5000, 0.0000) and Hg at (0.0000, 0.5000, 0.2613).

20.
A relaxed YIr3N crystal, computed with PBE.

For the formation energy without anion corrections, the calculation gives 16.1 eV per formula unit. For the mass density, the calculation gives 8.56 g/cm³. The value obtained for the electronic total energy is -0.186 hartree per atom. The value obtained for the energy relative to the lowest polymorph listed for this composition is 3191 meV/atom.

The structure belongs to space group Pm-3m (No. 221); the cell edges are 5.0888, 5.0888 and 5.0888 Å and the angles 90.00°, 90.00° and 90.00°. The asymmetric unit holds Y at (0.0000, 0.0000, 0.0000), Ir at (0.0000, 0.0000, 0.5000) and N at (0.5000, 0.5000, 0.5000).

21.
A relaxed DyZnGa2Ni2 crystal, computed with PBE.

For the mass density, the calculation gives 7.71 g/cm³. The energy of formation comes out at -0.194 eV/atom. The value obtained for the electronic total energy is -0.151 hartree per atom.

The structure belongs to space group P4/mmm (No. 123); the cell edges are 4.3796, 4.3796 and 5.4436 Å and the angles 90.00°, 90.00° and 90.00°. The asymmetric unit holds Dy at (0.0000, 0.0000, 0.0000), Zn at (0.0000, 0.0000, 0.5000), Ga at (0.5000, 0.5000, 0.2454) and Ni at (0.0000, 0.5000, 0.5000).

22.
A relaxed Th4CdHg3 crystal, computed with PBE.

For the mass density, the calculation gives 12.34 g/cm³. The energy of formation comes out at -0.175 eV/atom. The value obtained for the electronic total energy is -0.151 hartree per atom.

The structure belongs to space group Pmma (No. 51); the cell edges are 11.1802, 6.8158 and 5.8019 Å and the angles 90.00°, 90.00° and 90.00°. The asymmetric unit holds Th at (0.0000, 0.2497, 0.0000), Th at (0.2500, 0.2505, 0.3857), Cd at (0.0000, 0.0000, 0.5000), Hg at (0.0000, 0.5000, 0.5000), Hg at (0.2500, 0.0000, 0.8733) and Hg at (0.2500, 0.5000, 0.8785).